Li3La2Ni12Ge PBE optimized geometry; space group = R-3m; energy relative to the elements = 0.080 eV per atom
1.0
9.0721 1.8523 1.3138
6.0909 6.9739 1.3138
6.0909 3.5454 6.1475
Ni Ge La Li
12 1 2 3
direct
0.4169 0.8105 0.4169
0.0736 0.0736 0.6418
0.5831 0.1895 0.5831
0.6418 0.0736 0.0736
0.8105 0.4169 0.4169
0.5831 0.5831 0.1895
0.3582 0.9264 0.9264
0.1895 0.5831 0.5831
0.0736 0.6418 0.0736
0.9264 0.3582 0.9264
0.9264 0.9264 0.3582
0.4169 0.4169 0.8105
0.0000 0.0000 0.0000
0.6472 0.6472 0.6472
0.3528 0.3528 0.3528
0.0000 0.5000 0.0000
0.5000 0.0000 0.0000
0.0000 0.0000 0.5000

=====

LiLaGeO2 PBE optimized geometry; space group = P4/mmm; formation energy from raw total energies = -0.94 eV/atom
1.0
-2.1015 -0.8382 3.5017
-0.4004 -3.8433 -1.1603
3.5768 -0.9519 1.9187
O Ge La Li
2 1 1 1
direct
0.0000 0.0000 0.5000
0.5000 0.0000 0.0000
0.0000 0.5000 0.0000
0.5000 0.5000 0.5000
0.0000 0.0000 0.0000

=====

LiLaGe2Pd5 PBE optimized geometry; space group = P4/mmm; energy relative to the elements = -0.605 eV per atom
1.0
-1.6101 -0.6942 3.8462
-0.3665 -4.1146 -0.8961
8.5586 -1.4842 3.3149
Pd Li Ge La
5 1 2 1
direct
0.5000 0.0000 0.7331
0.0000 0.5000 0.2669
0.5000 0.5000 0.5000
0.5000 0.0000 0.2669
0.0000 0.5000 0.7331
0.0000 0.0000 0.0000
0.5000 0.5000 0.1306
0.5000 0.5000 0.8694
0.0000 0.0000 0.5000

=====

| no. | calculated total energy (eV/atom) |
| --- | --- |
| 1 | -4.90 |
| 2 | -5.22 |
| 3 | -5.28 |